# Sr4IrBr | Alexandria | PBE | optimized geometry
data_Sr4IrBr
_chemical_formula_sum 'Sr16 Ir4 Br4'
_space_group_name_H-M_alt 'C 1 2/c 1'
_space_group_IT_number 15
_cell_length_a 8.606
_cell_length_b 18.311
_cell_length_c 7.548
_cell_angle_alpha 90.00
_cell_angle_beta 124.39
_cell_angle_gamma 90.00
loop_
_space_group_symop_operation_xyz
'x,y,z'
'-x,-y,-z'
'-x,y,-z+1/2'
'x,-y,z+1/2'
'x+1/2,y+1/2,z'
'-x+1/2,-y+1/2,-z'
'-x+1/2,y+1/2,-z+1/2'
'x+1/2,-y+1/2,z+1/2'
loop_
_atom_site_label
_atom_site_fract_x
_atom_site_fract_y
_atom_site_fract_z
_atom_site_occupancy
Sr1 0.244 0.197 0.226 1
Sr2 0.247 0.422 0.232 1
Ir1 0.000 0.185 0.750 1
Br1 0.000 0.054 0.250 1
# ρ = 4.2 Mg/m³
# Relative energy among the computed polymorphs = 0.000 eV/atom